[1]
MgGaP2Cl at its PBEsol-relaxed geometry. Source: the Alexandria database, functional meta-GGA SCAN.

## Properties
The calculation puts the total energy at -48.38 eV/cell. As for the uncorrected formation energy: 0.3438 eV/atom.

Cell lengths 4.836, 4.836, 4.832 Å; angles 90.00, 90.00, 90.00 degrees
Space group P4/mmm (No. 123)
One atom of each set of equivalent atoms:
Mg: 0.000 0.000 0.000 x1
Ga: 0.500 0.500 0.500 x1
P: 0.000 0.500 0.000 x2
Cl: 0.000 0.000 0.500 x1


[2]
Fe2Sb at its PBEsol-relaxed geometry. Source: the Alexandria database, functional meta-GGA SCAN.

## Properties
The calculation puts the total energy at -290.51 eV/cell. As for the uncorrected formation energy: 0.2973 eV/atom.

Cell lengths 4.751, 4.751, 8.151 Å; angles 90.00, 90.00, 90.00 degrees
Space group I4/mcm (No. 140)
One atom of each set of equivalent atoms:
Fe: 0.202 0.298 0.000 x8
Sb: 0.000 0.000 0.250 x4


[3]
NiRu2 at its PBEsol-relaxed geometry. Source: the Alexandria database, functional meta-GGA SCAN.

## Properties
The energy above the lowest structure with this stoichiometry comes out at 0.06 eV per formula unit. The calculation puts the total energy at -342.03 eV/cell. The calculation puts the formation energy at 0.106 eV/atom.

Cell lengths 9.373, 2.682, 6.126 Å; angles 90.00, 104.60, 90.00 degrees
Space group C2/m (No. 12)
One atom of each set of equivalent atoms:
Ni: 0.027 0.000 0.306 x4
Ru: 0.140 0.500 0.035 x4
Ru: 0.193 0.500 0.635 x4


[4]
SrAlSe at its PBEsol-relaxed geometry. Source: the Alexandria database, functional meta-GGA SCAN.

## Properties
The energy above the lowest structure with this stoichiometry comes out at 0.00 eV per formula unit. The calculation puts the total energy at -104.70 eV/cell. As for the uncorrected formation energy: -0.7490 eV/atom.

Cell lengths 4.247, 4.247, 11.079 Å; angles 90.00, 90.00, 90.00 degrees
Space group I4mm (No. 107)
One atom of each set of equivalent atoms:
Sr: 0.000 0.000 0.000 x2
Al: 0.000 0.000 0.296 x2
Se: 0.000 0.000 0.518 x2


[5]
LaRe2P at its PBEsol-relaxed geometry. Source: the Alexandria database, functional meta-GGA SCAN.

## Properties
The calculation puts the total energy at -588.26 eV/cell. The calculation puts the formation energy at -0.097 eV/atom.

Cell lengths 4.2460, 4.2460, 16.2905 Å; angles 90.00, 90.00, 120.00 degrees
Space group R-3m (No. 166, hexagonal axes)
One atom of each set of equivalent atoms:
La: 0.0000 0.0000 0.0000 x3
Re: 0.0000 0.0000 0.1865 x6
P: 0.0000 0.0000 0.5000 x3


[6]
BaMgAs2 at its PBEsol-relaxed geometry. Source: the Alexandria database, functional meta-GGA SCAN.

## Properties
The calculation puts the total energy at -341.19 eV/cell. The calculation puts the formation energy at -0.098 eV/atom.

Cell lengths 7.328, 7.328, 7.328 Å; angles 90.00, 90.00, 90.00 degrees
Space group F-43m (No. 216)
One atom of each set of equivalent atoms:
Ba: 0.000 0.000 0.000 x4
Mg: 0.250 0.250 0.750 x4
As: 0.000 0.000 0.500 x4
As: 0.250 0.250 0.250 x4


[7]
LiTcHg2 at its PBEsol-relaxed geometry. Source: the Alexandria database, functional meta-GGA SCAN.

## Properties
The energy above the lowest structure with this stoichiometry comes out at 0.94 eV per formula unit. The calculation puts the total energy at -344.86 eV/cell. The calculation puts the formation energy at 0.338 eV/atom.

Cell lengths 3.429, 4.341, 9.419 Å; angles 90.00, 90.00, 90.00 degrees
Space group Cmm2 (No. 35)
One atom of each set of equivalent atoms:
Li: 0.000 0.000 0.000 x2
Tc: 0.000 0.500 0.777 x2
Hg: 0.000 0.000 0.534 x2
Hg: 0.000 0.500 0.236 x2


[8]
ScCuSb2 at its PBEsol-relaxed geometry. Source: the Alexandria database, functional meta-GGA SCAN.

## Properties
The calculation puts the total energy at -105.21 eV/cell. As for the uncorrected formation energy: -0.3129 eV/atom.

Cell lengths 3.846, 3.846, 5.675 Å; angles 90.00, 90.00, 90.00 degrees
Space group P4mm (No. 99)
One atom of each set of equivalent atoms:
Sc: 0.000 0.000 0.000 x1
Cu: 0.500 0.500 0.330 x1
Sb: 0.000 0.000 0.486 x1
Sb: 0.500 0.500 0.842 x1


[9]
HfAu3Br at its PBEsol-relaxed geometry. Source: the Alexandria database, functional meta-GGA SCAN.

## Properties
The calculation puts the total energy at -286.83 eV/cell. As for the uncorrected formation energy: 0.5541 eV/atom.

Cell lengths 5.153, 5.153, 5.153 Å; angles 90.00, 90.00, 90.00 degrees
Space group Pm-3m (No. 221)
One atom of each set of equivalent atoms:
Hf: 0.000 0.000 0.000 x1
Au: 0.000 0.000 0.500 x3
Br: 0.500 0.500 0.500 x1


[10]
ReSb2Te at its PBEsol-relaxed geometry. Source: the Alexandria database, functional meta-GGA SCAN.

## Properties
The calculation puts the total energy at -716.76 eV/cell. As for the uncorrected formation energy: 0.9203 eV/atom.

Cell lengths 6.961, 6.961, 6.961 Å; angles 90.00, 90.00, 90.00 degrees
Space group F-43m (No. 216)
One atom of each set of equivalent atoms:
Re: 0.000 0.000 0.000 x4
Sb: 0.000 0.000 0.500 x4
Sb: 0.250 0.250 0.250 x4
Te: 0.250 0.250 0.750 x4


[11]
CdFeRe at its PBEsol-relaxed geometry. Source: the Alexandria database, functional meta-GGA SCAN.

## Properties
The calculation puts the total energy at -118.02 eV/cell. The calculation puts the formation energy at 0.539 eV/atom.

Cell lengths 4.3890, 4.3890, 2.6497 Å; angles 90.00, 90.00, 120.00 degrees
Space group P3m1 (No. 156)
One atom of each set of equivalent atoms:
Cd: 0.0000 0.0000 0.0000 x1
Fe: 0.6667 0.3333 0.3508 x1
Re: 0.3333 0.6667 0.5465 x1


[12]
InPO2 at its PBEsol-relaxed geometry. Source: the Alexandria database, functional meta-GGA SCAN.

## Properties
The calculation puts the total energy at -175.79 eV/cell. As for the uncorrected formation energy: -0.5870 eV/atom.

Cell lengths 3.0469, 3.0469, 20.6206 Å; angles 90.00, 90.00, 120.00 degrees
Space group R-3m (No. 166, hexagonal axes)
One atom of each set of equivalent atoms:
In: 0.0000 0.0000 0.0000 x3
P: 0.0000 0.0000 0.5000 x3
O: 0.0000 0.0000 0.1178 x6


[13]
TaBrCl2 at its PBEsol-relaxed geometry. Source: the Alexandria database, functional meta-GGA SCAN.

## Properties
The energy above the lowest structure with this stoichiometry comes out at 5.61 eV per formula unit. The calculation puts the total energy at -99.84 eV/cell. As for the uncorrected formation energy: 0.5387 eV/atom.

Cell lengths 3.232, 4.685, 4.783 Å; angles 90.00, 90.00, 90.00 degrees
Space group Pmmm (No. 47)
One atom of each set of equivalent atoms:
Ta: 0.000 0.000 0.000 x1
Br: 0.500 0.000 0.500 x1
Cl: 0.000 0.500 0.500 x1
Cl: 0.500 0.500 0.000 x1


[14]
Na2ZrBH at its PBEsol-relaxed geometry. Source: the Alexandria database, functional meta-GGA SCAN.

## Properties
The calculation puts the total energy at -46.38 eV/cell.

Cell lengths 3.715, 3.715, 6.138 Å; angles 90.00, 90.00, 90.00 degrees
Space group P4/mmm (No. 123)
One atom of each set of equivalent atoms:
Na: 0.000 0.500 0.000 x2
Zr: 0.000 0.000 0.500 x1
B: 0.500 0.500 0.500 x1
H: 0.500 0.500 0.000 x1


[15]
Al2OsW at its PBEsol-relaxed geometry. Source: the Alexandria database, functional meta-GGA SCAN.

## Properties
The energy above the lowest structure with this stoichiometry comes out at 0.00 eV per formula unit. The calculation puts the total energy at -315.22 eV/cell. The calculation puts the formation energy at -0.135 eV/atom.

Cell lengths 8.895, 2.847, 4.754 Å; angles 90.00, 103.73, 90.00 degrees
Space group C2/m (No. 12)
One atom of each set of equivalent atoms:
Al: 0.243 0.000 0.240 x4
Os: 0.000 0.500 0.000 x2
W: 0.000 0.000 0.500 x2


[16]
K2BaHg2 at its PBEsol-relaxed geometry. Source: the Alexandria database, functional meta-GGA SCAN.

## Properties
The calculation puts the total energy at -388.21 eV/cell. The calculation puts the formation energy at -0.314 eV/atom.

Cell lengths 8.623, 8.623, 5.398 Å; angles 90.00, 90.00, 90.00 degrees
Space group P4/mbm (No. 127)
One atom of each set of equivalent atoms:
K: 0.165 0.335 0.000 x4
Ba: 0.000 0.000 0.500 x2
Hg: 0.120 0.620 0.500 x4


[17]
KGaBr3 at its PBEsol-relaxed geometry. Source: the Alexandria database, functional meta-GGA SCAN.

## Properties
The calculation puts the total energy at -88.81 eV/cell. As for the uncorrected formation energy: -1.1515 eV/atom.

Cell lengths 5.311, 5.311, 5.311 Å; angles 90.00, 90.00, 90.00 degrees
Space group Pm-3m (No. 221)
One atom of each set of equivalent atoms:
K: 0.000 0.000 0.000 x1
Ga: 0.500 0.500 0.500 x1
Br: 0.000 0.500 0.500 x3


[18]
BeCr2 at its PBEsol-relaxed geometry. Source: the Alexandria database, functional meta-GGA SCAN.

## Properties
The calculation puts the total energy at -163.64 eV/cell. The calculation puts the formation energy at 0.071 eV/atom.

Cell lengths 8.339, 2.929, 5.264 Å; angles 90.00, 108.28, 90.00 degrees
Space group C2/m (No. 12)
One atom of each set of equivalent atoms:
Be: 0.173 0.000 0.341 x4
Cr: 0.000 0.500 0.000 x2
Cr: 0.000 0.500 0.500 x2
Cr: 0.160 0.000 0.828 x4


[19]
InAs2SeBr at its PBEsol-relaxed geometry. Source: the Alexandria database, functional meta-GGA SCAN.

## Properties
The calculation puts the total energy at -110.68 eV/cell. As for the uncorrected formation energy: 0.5245 eV/atom.

Cell lengths 5.017, 5.017, 5.360 Å; angles 90.00, 90.00, 90.00 degrees
Space group P4/mmm (No. 123)
One atom of each set of equivalent atoms:
In: 0.000 0.000 0.000 x1
As: 0.000 0.500 0.500 x2
Se: 0.500 0.500 0.500 x1
Br: 0.500 0.500 0.000 x1


[20]
CaRe2Cl at its PBEsol-relaxed geometry. Source: the Alexandria database, functional meta-GGA SCAN.

## Properties
The energy above the lowest structure with this stoichiometry comes out at 1.57 eV per formula unit. The calculation puts the total energy at -317.92 eV/cell. As for the uncorrected formation energy: 0.2190 eV/atom.

Cell lengths 3.573, 3.573, 12.639 Å; angles 90.00, 90.00, 90.00 degrees
Space group I4/mmm (No. 139)
One atom of each set of equivalent atoms:
Ca: 0.000 0.000 0.000 x2
Re: 0.000 0.500 0.250 x4
Cl: 0.000 0.000 0.500 x2